1.
This record from Alexandria via LeMat-Bulk describes a relaxed structure of HfBe2Zn. The functional is PBE.

Calculated values
Calculated total energy = -18.9 eV/cell
Energy of formation from the pure elements = -57 meV per atom

Unit cell a=4.857 b=4.857 c=4.857 alpha=45.58 beta=45.58 gamma=45.58
Fractional coordinates of all 4 atoms:
Hf 0.000 0.000 0.000
Be 0.206 0.206 0.206
Be 0.794 0.794 0.794
Zn 0.500 0.500 0.500

2.
This record from Alexandria via LeMat-Bulk describes a relaxed structure of Hf2Be2Zn. The functional is PBE.

Calculated values
Offset from the most stable computed form = 0.734 eV per atom
Calculated total energy = -26.1 eV/cell
Energy of formation from the pure elements = 503 meV per atom

Unit cell a=5.790 b=5.790 c=5.790 alpha=137.86 beta=137.86 gamma=61.11
Fractional coordinates of all 5 atoms:
Hf 0.250 0.750 0.500
Hf 0.750 0.250 0.500
Be 0.097 0.097 0.000
Be 0.903 0.903 0.000
Zn 0.500 0.500 0.000

- What is the formula in the first record?
  HfBe2Zn